w.
Density functional theory data (PBE) for a relaxed structure of CaTlSe3.

Cell lengths 5.377, 5.377, 5.377 Å; angles 90.00, 90.00, 90.00 degrees
Atoms (fractional coordinates):
Tl (0.000, 0.000, 0.000)
Ca (0.500, 0.500, 0.500)
Se (0.000, 0.500, 0.000)
Se (0.000, 0.000, 0.500)
Se (0.500, 0.000, 0.000)

Summary:
**Total magnetization**: 0.0 μB/cell

x.
Density functional theory data (PBE) for a relaxed structure of CaTlSe3.

Cell lengths 5.599, 5.599, 5.599 Å; angles 90.00, 90.00, 90.00 degrees
Atoms (fractional coordinates):
Tl (0.500, 0.500, 0.500)
Ca (0.000, 0.000, 0.000)
Se (0.000, 0.500, 0.000)
Se (0.000, 0.000, 0.500)
Se (0.500, 0.000, 0.000)

Summary:
**Total magnetization**: 2.9 μB/cell

x is the most stable structure; the next one sits 0.049 eV/atom above it.

w.
Density functional theory data (PBE) for a relaxed structure of CaUSe2.

Cell lengths 3.944, 3.944, 7.827 Å; angles 75.41, 75.41, 60.00 degrees
Atoms (fractional coordinates):
Ca (0.497, 0.497, 0.510)
U (0.669, 0.669, 0.994)
Se (0.083, 0.083, 0.750)
Se (0.251, 0.251, 0.246)

Summary:
**Total magnetization**: 3.2 μB/cell

x.
Density functional theory data (PBE) for a relaxed structure of CaUSe2.

Cell lengths 4.032, 4.032, 7.481 Å; angles 74.37, 74.37, 60.00 degrees
Atoms (fractional coordinates):
Ca (0.000, 0.000, 0.000)
U (0.500, 0.500, 0.500)
Se (0.749, 0.749, 0.752)
Se (0.251, 0.251, 0.248)

Summary:
**Total magnetization**: 3.3 μB/cell

x is the most stable structure; the next one sits 0.082 eV/atom above it.